# 1
# ReHW

Crystalline ReHW at its relaxed geometry (PBE-GGA, Alexandria via LeMat-Bulk).

Output
**Symmetry**: No. 2
**Volume**: 66.1 Å³/cell
**Relative energy among the computed polymorphs**: 0.017 eV per atom
**DOS(E_F)**: 3.42 states/eV per cell

Cell lengths 2.8533, 4.9381, 4.9661 Å; angles 80.97, 89.99, 73.37 degrees
Sites, in units of the cell vectors:
Re  0.0000  0.0000  0.0000
Re  0.5000  0.0000  0.5000
H  0.1219  0.7580  0.3696
H  0.8781  0.2420  0.6304
W  0.2458  0.5088  0.7539
W  0.7542  0.4912  0.2461

***

# 2
# NaLi2HgO

Crystalline NaLi2HgO at its relaxed geometry (PBE-GGA, Alexandria via LeMat-Bulk).

Output
**Symmetry**: No. 123
**Uncorrected energy**: -2.975 eV per atom
**Volume**: 81.0 Å³/cell
**DOS(E_F)**: 2.38 states/eV per cell

Cell lengths 4.1258, 4.1258, 4.7571 Å; angles 90.00, 90.00, 90.00 degrees
Sites, in units of the cell vectors:
Na  0.0000  0.0000  0.0000
Li  0.0000  0.5000  0.5000
Li  0.5000  0.0000  0.5000
Hg  0.5000  0.5000  0.0000
O  0.0000  0.0000  0.5000

***

# 3
# Ac2SmMgO6

Crystalline Ac2SmMgO6 at its relaxed geometry (PBE-GGA, Alexandria via LeMat-Bulk).

Output
**Symmetry**: No. 14
**Uncorrected energy**: -7.367 eV per atom
**Volume**: 309.6 Å³/cell
**DOS(E_F)**: 17.75 states/eV per cell

Cell lengths 5.9436, 6.1203, 10.2982 Å; angles 90.00, 124.27, 90.00 degrees
Sites, in units of the cell vectors:
Ac  0.2320  0.0517  0.2493
Ac  0.2320  0.4483  0.7493
Ac  0.7680  0.5517  0.2507
Ac  0.7680  0.9483  0.7507
Sm  0.5000  0.0000  0.0000
Sm  0.5000  0.5000  0.5000
Mg  0.0000  0.0000  0.5000
Mg  0.0000  0.5000  0.0000
O  0.1277  0.2083  0.9392
O  0.1277  0.2917  0.4392
O  0.2299  0.6925  0.9406
O  0.2299  0.8075  0.4406
O  0.3508  0.0490  0.7390
O  0.3508  0.4510  0.2390
O  0.6492  0.5490  0.7610
O  0.6492  0.9510  0.2610
O  0.7701  0.1925  0.5594
O  0.7701  0.3075  0.0594
O  0.8723  0.7083  0.5608
O  0.8723  0.7917  0.0608

***

# 4
# CoCuW2

Crystalline CoCuW2 at its relaxed geometry (PBE-GGA, Alexandria via LeMat-Bulk).

Output
**Symmetry**: No. 10
**Volume**: 54.5 Å³/cell
**Relative energy among the computed polymorphs**: 0.027 eV per atom
**DOS(E_F)**: 2.31 states/eV per cell

Cell lengths 2.6720, 3.7860, 5.3861 Å; angles 90.00, 90.41, 90.00 degrees
Sites, in units of the cell vectors:
Co  0.0000  0.0000  0.0000
Cu  0.0000  0.0000  0.5000
W  0.4971  0.5000  0.2457
W  0.5029  0.5000  0.7543

***

# 5
# Pm15Y4In

Crystalline Pm15Y4In at its relaxed geometry (PBE-GGA, Alexandria via LeMat-Bulk).

Output
**Symmetry**: No. 123
**Uncorrected energy**: -5.030 eV per atom
**Volume**: 664.0 Å³/cell
**DOS(E_F)**: 27.63 states/eV per cell

Cell lengths 5.0848, 5.0848, 25.6807 Å; angles 90.00, 90.00, 90.00 degrees
Sites, in units of the cell vectors:
Pm  0.0000  0.0000  0.0000
Pm  0.0000  0.0000  0.1968
Pm  0.0000  0.0000  0.3988
Pm  0.0000  0.0000  0.6012
Pm  0.0000  0.0000  0.8032
Pm  0.0000  0.5000  0.0962
Pm  0.0000  0.5000  0.2983
Pm  0.0000  0.5000  0.5000
Pm  0.0000  0.5000  0.7017
Pm  0.0000  0.5000  0.9038
Pm  0.5000  0.0000  0.0962
Pm  0.5000  0.0000  0.2983
Pm  0.5000  0.0000  0.5000
Pm  0.5000  0.0000  0.7017
Pm  0.5000  0.0000  0.9038
Y  0.5000  0.5000  0.1978
Y  0.5000  0.5000  0.3994
Y  0.5000  0.5000  0.6006
Y  0.5000  0.5000  0.8022
In  0.5000  0.5000  0.0000

***

# 6
# Li2Zr2W

Crystalline Li2Zr2W at its relaxed geometry (PBE-GGA, Alexandria via LeMat-Bulk).

Output
**Symmetry**: No. 139
**Volume**: 86.4 Å³/cell
**Relative energy among the computed polymorphs**: 0.046 eV per atom
**DOS(E_F)**: 3.66 states/eV per cell

Cell lengths 4.9881, 4.9881, 4.9881 Å; angles 120.97, 120.97, 88.34 degrees
Sites, in units of the cell vectors:
Li  0.1245  0.1245  0.0000
Li  0.8755  0.8755  0.0000
Zr  0.2500  0.7500  0.5000
Zr  0.7500  0.2500  0.5000
W  0.5000  0.5000  0.0000

***

# 7
# K3LiZn2F9

Crystalline K3LiZn2F9 at its relaxed geometry (PBE-GGA, Alexandria via LeMat-Bulk).

Output
**Symmetry**: No. 164
**Uncorrected energy**: -4.141 eV per atom
**Volume**: 203.7 Å³/cell
**DOS(E_F)**: 6.44 states/eV per cell

Cell lengths 5.7584, 5.7584, 7.0921 Å; angles 90.00, 90.00, 120.00 degrees
Sites, in units of the cell vectors:
K  0.0000  0.0000  0.0000
K  0.3333  0.6667  0.6539
K  0.6667  0.3333  0.3461
Li  0.0000  0.0000  0.5000
Zn  0.3333  0.6667  0.1709
Zn  0.6667  0.3333  0.8291
F  0.0000  0.5000  0.0000
F  0.1685  0.3370  0.3257
F  0.1685  0.8315  0.3257
F  0.3370  0.1685  0.6743
F  0.5000  0.0000  0.0000
F  0.5000  0.5000  0.0000
F  0.6630  0.8315  0.3257
F  0.8315  0.1685  0.6743
F  0.8315  0.6630  0.6743

***

# 8
# Ho2ErRu

Crystalline Ho2ErRu at its relaxed geometry (PBE-GGA, Alexandria via LeMat-Bulk).

Output
**Symmetry**: No. 123
**Volume**: 102.7 Å³/cell
**Relative energy among the computed polymorphs**: 0.133 eV per atom
**DOS(E_F)**: 3.88 states/eV per cell

Cell lengths 3.4158, 3.4158, 8.8000 Å; angles 90.00, 90.00, 90.00 degrees
Sites, in units of the cell vectors:
Ho  0.0000  0.0000  0.1865
Ho  0.0000  0.0000  0.8135
Er  0.5000  0.5000  0.5000
Ru  0.5000  0.5000  0.0000